# Mg14AlNiO16 (PBEsol, relaxed)
data_Mg14AlNiO16
_symmetry_space_group_name_H-M 'P m m m'
_symmetry_Int_Tables_number 47
_cell_length_a 4.174
_cell_length_b 8.345
_cell_length_c 8.577
_cell_angle_alpha 90.00
_cell_angle_beta 90.00
_cell_angle_gamma 90.00
loop_
_symmetry_equiv_pos_as_xyz
'x,y,z'
'-x,-y,-z'
'-x,-y,z'
'x,y,-z'
'x,-y,-z'
'-x,y,z'
'-x,y,-z'
'x,-y,z'
loop_
_atom_site_label
_atom_site_fract_x
_atom_site_fract_y
_atom_site_fract_z
_atom_site_occupancy
Mg1 0.000 0.000 0.000 1
Mg2 0.000 0.000 0.500 1
Mg3 0.000 0.254 0.246 1
Mg4 0.500 0.000 0.248 1
Mg5 0.500 0.250 0.500 1
Mg6 0.500 0.254 0.000 1
Mg7 0.500 0.500 0.245 1
Al1 0.000 0.500 0.500 1
Ni1 0.000 0.500 0.000 1
O1 0.000 0.000 0.253 1
O2 0.000 0.247 0.000 1
O3 0.000 0.260 0.500 1
O4 0.000 0.500 0.289 1
O5 0.500 0.000 0.000 1
O6 0.500 0.000 0.500 1
O7 0.500 0.251 0.250 1
O8 0.500 0.500 0.000 1
O9 0.500 0.500 0.500 1
# energy relative to the elements, uncorrected = -8033 kJ/mol of formula units
# magnetic moment = 1.00 μB/cell
# volume = 299 Å³ per cell



# NiRh3 (PBEsol, relaxed)
data_NiRh3
_symmetry_space_group_name_H-M 'P m m 2'
_symmetry_Int_Tables_number 25
_cell_length_a 2.659
_cell_length_b 4.254
_cell_length_c 4.563
_cell_angle_alpha 90.00
_cell_angle_beta 90.00
_cell_angle_gamma 90.00
loop_
_symmetry_equiv_pos_as_xyz
'x,y,z'
'-x,-y,z'
'-x,y,z'
'x,-y,z'
loop_
_atom_site_label
_atom_site_fract_x
_atom_site_fract_y
_atom_site_fract_z
_atom_site_occupancy
Ni1 0.000 0.000 0.000 1
Rh1 0.000 0.500 0.330 1
Rh2 0.500 0.000 0.500 1
Rh3 0.500 0.500 0.838 1
# DFT total energy = -30.27 eV/cell
# magnetic moment = 1.48 μB/cell
# volume = 52 Å³ per cell